[1]
A plane-wave DFT calculation with PBE was carried out for crystalline SrHf2BeN at its relaxed geometry.

## Properties
- DOS at the Fermi energy (states/eV/cell) = 3.67
- energy relative to the elements, uncorrected (eV per formula unit) = 6.37
- E (eV/cell) = -27.27
- theoretical density (g/cm3) = 6.66

a b c (Å): 4.530 4.530 5.681
angles (deg): 90.00 90.00 90.00
Fractional coordinates of all 5 atoms:
Sr: 0.000 0.000 0.000
Hf: 0.000 0.500 0.500
Hf: 0.500 0.000 0.500
Be: 0.000 0.000 0.500
N: 0.500 0.500 0.000

[2]
A plane-wave DFT calculation with PBE was carried out for crystalline TaFeAg2 at its relaxed geometry.

## Properties
- DOS at the Fermi energy (states/eV/cell) = 2.67
- energy relative to the lowest polymorph listed for this composition (eV/atom) = 0.010
- calculated formation energy (meV/atom) = 228
- E (eV/cell) = -25.10
- theoretical density (g/cm3) = 11.37

a b c (Å): 3.035 3.056 7.129
angles (deg): 90.00 90.09 90.00
Fractional coordinates of all 4 atoms:
Ta: 0.000 0.000 0.000
Fe: 0.500 0.500 0.174
Ag: 0.000 0.000 0.430
Ag: 0.500 0.500 0.703

| no. | M_tot (μB/f.u.) |
| --- | --- |
| 1 | 0.00 |
| 2 | 0.62 |